No. 1
Computed, not measured: crystalline Tl12In3S5 at its relaxed geometry at the PBE level of DFT.

a b c (Å): 15.2874 15.2874 15.2874
angles (deg): 109.47 109.47 109.47
Element x y z (fractional)
Tl (0.0473, 0.2218, 0.1326)
Tl (0.0473, 0.3256, 0.9147)
Tl (0.0853, 0.6326, 0.4109)
Tl (0.0853, 0.9527, 0.6744)
Tl (0.0891, 0.7218, 0.6744)
Tl (0.0891, 0.8674, 0.4147)
Tl (0.1326, 0.0473, 0.2218)
Tl (0.1326, 0.5853, 0.9109)
Tl (0.1744, 0.2218, 0.5891)
Tl (0.1744, 0.4527, 0.5853)
Tl (0.2218, 0.1326, 0.0473)
Tl (0.2218, 0.5891, 0.1744)
Tl (0.2782, 0.3256, 0.9109)
Tl (0.2782, 0.4527, 0.3674)
Tl (0.3256, 0.9109, 0.2782)
Tl (0.3256, 0.9147, 0.0473)
Tl (0.3674, 0.2782, 0.4527)
Tl (0.3674, 0.5891, 0.9147)
Tl (0.4109, 0.0853, 0.6326)
Tl (0.4109, 0.8256, 0.7782)
Tl (0.4147, 0.0891, 0.8674)
Tl (0.4147, 0.8256, 0.5473)
Tl (0.4527, 0.3674, 0.2782)
Tl (0.4527, 0.5853, 0.1744)
Tl (0.5473, 0.4147, 0.8256)
Tl (0.5473, 0.6326, 0.7218)
Tl (0.5853, 0.1744, 0.4527)
Tl (0.5853, 0.9109, 0.1326)
Tl (0.5891, 0.1744, 0.2218)
Tl (0.5891, 0.9147, 0.3674)
Tl (0.6326, 0.4109, 0.0853)
Tl (0.6326, 0.7218, 0.5473)
Tl (0.6744, 0.0853, 0.9527)
Tl (0.6744, 0.0891, 0.7218)
Tl (0.7218, 0.5473, 0.6326)
Tl (0.7218, 0.6744, 0.0891)
Tl (0.7782, 0.4109, 0.8256)
Tl (0.7782, 0.8674, 0.9527)
Tl (0.8256, 0.5473, 0.4147)
Tl (0.8256, 0.7782, 0.4109)
Tl (0.8674, 0.4147, 0.0891)
Tl (0.8674, 0.9527, 0.7782)
Tl (0.9109, 0.1326, 0.5853)
Tl (0.9109, 0.2782, 0.3256)
Tl (0.9147, 0.0473, 0.3256)
Tl (0.9147, 0.3674, 0.5891)
Tl (0.9527, 0.6744, 0.0853)
Tl (0.9527, 0.7782, 0.8674)
In (0.1250, 0.2500, 0.3750)
In (0.1250, 0.3750, 0.7500)
In (0.2500, 0.3750, 0.1250)
In (0.2500, 0.8750, 0.6250)
In (0.3750, 0.1250, 0.2500)
In (0.3750, 0.7500, 0.1250)
In (0.6250, 0.2500, 0.8750)
In (0.6250, 0.8750, 0.7500)
In (0.7500, 0.1250, 0.3750)
In (0.7500, 0.6250, 0.8750)
In (0.8750, 0.6250, 0.2500)
In (0.8750, 0.7500, 0.6250)
S (0.0000, 0.0000, 0.0000)
S (0.0000, 0.0000, 0.5000)
S (0.0000, 0.5000, 0.0000)
S (0.0000, 0.5000, 0.5000)
S (0.1250, 0.7500, 0.8750)
S (0.1250, 0.8750, 0.2500)
S (0.2500, 0.1250, 0.8750)
S (0.2500, 0.6250, 0.3750)
S (0.3750, 0.2500, 0.6250)
S (0.3750, 0.6250, 0.7500)
S (0.5000, 0.0000, 0.0000)
S (0.5000, 0.0000, 0.5000)
S (0.5000, 0.5000, 0.0000)
S (0.5000, 0.5000, 0.5000)
S (0.6250, 0.3750, 0.2500)
S (0.6250, 0.7500, 0.3750)
S (0.7500, 0.3750, 0.6250)
S (0.7500, 0.8750, 0.1250)
S (0.8750, 0.1250, 0.7500)
S (0.8750, 0.2500, 0.1250)

**Total moment**: 0.00 μB/cell

=====

No. 2
Computed, not measured: crystalline TlInS2 at its relaxed geometry at the PBE level of DFT.

a b c (Å): 7.8606 7.8606 7.8606
angles (deg): 28.80 28.80 28.80
Element x y z (fractional)
Tl (0.0000, 0.0000, 0.0000)
In (0.5000, 0.5000, 0.5000)
S (0.2307, 0.2307, 0.2307)
S (0.7693, 0.7693, 0.7693)

**Total moment**: 0.00 μB/cell

=====

No. 3
Computed, not measured: crystalline Tl2In2S at its relaxed geometry at the PBE level of DFT.

a b c (Å): 7.3987 7.3987 5.2802
angles (deg): 90.00 90.00 90.00
Element x y z (fractional)
Tl (0.1639, 0.3361, 0.0000)
Tl (0.3361, 0.8361, 0.0000)
Tl (0.6639, 0.1639, 0.0000)
Tl (0.8361, 0.6639, 0.0000)
In (0.1496, 0.6496, 0.5000)
In (0.3504, 0.1496, 0.5000)
In (0.6496, 0.8504, 0.5000)
In (0.8504, 0.3504, 0.5000)
S (0.0000, 0.0000, 0.5000)
S (0.5000, 0.5000, 0.5000)

**Total moment**: 0.00 μB/cell

=====

No. 4
Computed, not measured: crystalline TlInS2 at its relaxed geometry at the PBE level of DFT.

a b c (Å): 4.1436 5.0437 6.1843
angles (deg): 97.17 101.54 107.53
Element x y z (fractional)
Tl (0.0000, 0.0000, 0.0000)
In (0.8023, 0.4816, 0.4098)
S (0.3713, 0.4296, 0.7195)
S (0.3959, 0.0203, 0.6321)

**Total moment**: 0.00 μB/cell

=====

No. 5
Computed, not measured: crystalline TlInS2 at its relaxed geometry at the PBE level of DFT.

a b c (Å): 3.9085 3.9085 15.0317
angles (deg): 90.00 90.00 120.00
Element x y z (fractional)
Tl (0.3333, 0.6667, 0.2500)
Tl (0.6667, 0.3333, 0.7500)
In (0.0000, 0.0000, 0.0000)
In (0.0000, 0.0000, 0.5000)
S (0.3333, 0.6667, 0.5963)
S (0.3333, 0.6667, 0.9037)
S (0.6667, 0.3333, 0.0963)
S (0.6667, 0.3333, 0.4037)

**Total moment**: 0.00 μB/cell

=====

No. 6
Computed, not measured: crystalline TlIn3S at its relaxed geometry at the PBE level of DFT.

a b c (Å): 5.4677 5.4677 5.4677
angles (deg): 90.00 90.00 90.00
Element x y z (fractional)
Tl (0.0000, 0.0000, 0.0000)
In (0.0000, 0.5000, 0.5000)
In (0.5000, 0.0000, 0.5000)
In (0.5000, 0.5000, 0.0000)
S (0.5000, 0.5000, 0.5000)

**Distance to the lowest polymorph of the same formula**: 0 meV per atom
**Total moment**: 0.00 μB/cell

=====

No. 7
Computed, not measured: crystalline Tl3InS3 at its relaxed geometry at the PBE level of DFT.

a b c (Å): 8.9851 8.9851 6.6410
angles (deg): 90.00 90.00 119.86
Element x y z (fractional)
Tl (0.1993, 0.3981, 0.7500)
Tl (0.1987, 0.8013, 0.7500)
Tl (0.3981, 0.1993, 0.2500)
Tl (0.6019, 0.8007, 0.7500)
Tl (0.8013, 0.1987, 0.2500)
Tl (0.8007, 0.6019, 0.2500)
In (0.3331, 0.6669, 0.2500)
In (0.6669, 0.3331, 0.7500)
S (0.1777, 0.8223, 0.2500)
S (0.1787, 0.3567, 0.2500)
S (0.3567, 0.1787, 0.7500)
S (0.6433, 0.8213, 0.2500)
S (0.8213, 0.6433, 0.7500)
S (0.8223, 0.1777, 0.7500)

**Distance to the lowest polymorph of the same formula**: 94 meV per atom
**Total moment**: 0.00 μB/cell

=====

No. 8
Computed, not measured: crystalline TlIn3S at its relaxed geometry at the PBE level of DFT.

a b c (Å): 5.6676 5.6676 5.6676
angles (deg): 90.00 90.00 90.00
Element x y z (fractional)
Tl (0.0000, 0.0000, 0.0000)
In (0.0000, 0.0000, 0.5000)
In (0.0000, 0.5000, 0.0000)
In (0.5000, 0.0000, 0.0000)
S (0.5000, 0.5000, 0.5000)

**Distance to the lowest polymorph of the same formula**: 314 meV per atom
**Total moment**: 0.00 μB/cell

=====

No. 9
Computed, not measured: crystalline TlInS2 at its relaxed geometry at the PBE level of DFT.

a b c (Å): 4.6406 4.6406 6.3071
angles (deg): 112.12 112.12 81.99
Element x y z (fractional)
Tl (0.0000, 0.0000, 0.0000)
In (0.0000, 0.0000, 0.5000)
S (0.4869, 0.4869, 0.8275)
S (0.5131, 0.5131, 0.1725)

**Total moment**: 0.00 μB/cell

=====

No. 10
Computed, not measured: crystalline Tl3In2S6 at its relaxed geometry at the PBE level of DFT.

a b c (Å): 20.0661 20.0661 20.0661
angles (deg): 11.31 11.31 11.31
Element x y z (fractional)
Tl (0.0000, 0.0000, 0.0000)
Tl (0.2728, 0.2728, 0.2728)
Tl (0.7272, 0.7272, 0.7272)
In (0.4530, 0.4530, 0.4530)
In (0.5470, 0.5470, 0.5470)
S (0.0911, 0.0911, 0.0911)
S (0.1937, 0.1937, 0.1937)
S (0.3596, 0.3596, 0.3596)
S (0.6404, 0.6404, 0.6404)
S (0.8063, 0.8063, 0.8063)
S (0.9089, 0.9089, 0.9089)

**Total moment**: 0.00 μB/cell

=====

No. 11
Computed, not measured: crystalline TlInS2 at its relaxed geometry at the PBE level of DFT.

a b c (Å): 6.8867 5.7869 11.0079
angles (deg): 90.00 90.00 90.00
Element x y z (fractional)
Tl (0.0321, 0.2500, 0.1221)
Tl (0.4679, 0.7500, 0.6221)
Tl (0.5321, 0.2500, 0.3779)
Tl (0.9679, 0.7500, 0.8779)
In (0.0433, 0.7500, 0.3779)
In (0.4567, 0.2500, 0.8779)
In (0.5433, 0.7500, 0.1221)
In (0.9567, 0.2500, 0.6221)
S (0.0686, 0.2500, 0.4105)
S (0.0992, 0.2500, 0.8298)
S (0.4008, 0.7500, 0.3298)
S (0.4314, 0.7500, 0.9105)
S (0.5686, 0.2500, 0.0895)
S (0.5992, 0.2500, 0.6702)
S (0.9008, 0.7500, 0.1702)
S (0.9314, 0.7500, 0.5895)

**Total moment**: 0.00 μB/cell

=====

No. 12
Computed, not measured: crystalline TlIn2S2 at its relaxed geometry at the PBE level of DFT.

a b c (Å): 8.1188 8.1188 3.7116
angles (deg): 90.00 90.00 90.00
Element x y z (fractional)
Tl (0.0000, 0.0000, 0.0000)
Tl (0.5000, 0.5000, 0.0000)
In (0.1453, 0.3547, 0.5000)
In (0.3547, 0.8547, 0.5000)
In (0.6453, 0.1453, 0.5000)
In (0.8547, 0.6453, 0.5000)
S (0.1484, 0.6484, 0.0000)
S (0.3516, 0.1484, 0.0000)
S (0.6484, 0.8516, 0.0000)
S (0.8516, 0.3516, 0.0000)

**Distance to the lowest polymorph of the same formula**: 165 meV per atom
**Total moment**: 0.00 μB/cell

=====

No. 13
Computed, not measured: crystalline TlInS2 at its relaxed geometry at the PBE level of DFT.

a b c (Å): 8.7883 8.7883 8.7883
angles (deg): 25.77 25.77 25.77
Element x y z (fractional)
Tl (0.0000, 0.0000, 0.0000)
In (0.5000, 0.5000, 0.5000)
S (0.3928, 0.3928, 0.3928)
S (0.6072, 0.6072, 0.6072)

**Total moment**: 0.00 μB/cell

=====

No. 14
Computed, not measured: crystalline TlIn2S4 at its relaxed geometry at the PBE level of DFT.

a b c (Å): 8.0073 8.0073 8.0073
angles (deg): 119.89 119.89 90.19
Element x y z (fractional)
Tl (0.3750, 0.6250, 0.7500)
Tl (0.6250, 0.3750, 0.2500)
In (0.0000, 0.0000, 0.0000)
In (0.0000, 0.0000, 0.5000)
In (0.0000, 0.5000, 0.0000)
In (0.5000, 0.0000, 0.5000)
S (0.2056, 0.2354, 0.9702)
S (0.2354, 0.2056, 0.4702)
S (0.2354, 0.7652, 0.0298)
S (0.2348, 0.7646, 0.4702)
S (0.7652, 0.2354, 0.5298)
S (0.7646, 0.2348, 0.9702)
S (0.7646, 0.7944, 0.5298)
S (0.7944, 0.7646, 0.0298)

**Distance to the lowest polymorph of the same formula**: 0 meV per atom
**Total moment**: 0.00 μB/cell

=====

No. 15
Computed, not measured: crystalline Tl3In12S5 at its relaxed geometry at the PBE level of DFT.

a b c (Å): 14.9475 14.9475 14.9475
angles (deg): 109.47 109.47 109.47
Element x y z (fractional)
Tl (0.1250, 0.2500, 0.3750)
Tl (0.1250, 0.3750, 0.7500)
Tl (0.2500, 0.3750, 0.1250)
Tl (0.2500, 0.8750, 0.6250)
Tl (0.3750, 0.1250, 0.2500)
Tl (0.3750, 0.7500, 0.1250)
Tl (0.6250, 0.2500, 0.8750)
Tl (0.6250, 0.8750, 0.7500)
Tl (0.7500, 0.1250, 0.3750)
Tl (0.7500, 0.6250, 0.8750)
Tl (0.8750, 0.6250, 0.2500)
Tl (0.8750, 0.7500, 0.6250)
In (0.0461, 0.2208, 0.1319)
In (0.0461, 0.3253, 0.9142)
In (0.0858, 0.6319, 0.4111)
In (0.0858, 0.9539, 0.6747)
In (0.0889, 0.7208, 0.6747)
In (0.0889, 0.8681, 0.4142)
In (0.1319, 0.0461, 0.2208)
In (0.1319, 0.5858, 0.9111)
In (0.1747, 0.2208, 0.5889)
In (0.1747, 0.4539, 0.5858)
In (0.2208, 0.1319, 0.0461)
In (0.2208, 0.5889, 0.1747)
In (0.2792, 0.3253, 0.9111)
In (0.2792, 0.4539, 0.3681)
In (0.3253, 0.9111, 0.2792)
In (0.3253, 0.9142, 0.0461)
In (0.3681, 0.2792, 0.4539)
In (0.3681, 0.5889, 0.9142)
In (0.4111, 0.0858, 0.6319)
In (0.4111, 0.8253, 0.7792)
In (0.4142, 0.0889, 0.8681)
In (0.4142, 0.8253, 0.5461)
In (0.4539, 0.3681, 0.2792)
In (0.4539, 0.5858, 0.1747)
In (0.5461, 0.4142, 0.8253)
In (0.5461, 0.6319, 0.7208)
In (0.5858, 0.1747, 0.4539)
In (0.5858, 0.9111, 0.1319)
In (0.5889, 0.1747, 0.2208)
In (0.5889, 0.9142, 0.3681)
In (0.6319, 0.4111, 0.0858)
In (0.6319, 0.7208, 0.5461)
In (0.6747, 0.0858, 0.9539)
In (0.6747, 0.0889, 0.7208)
In (0.7208, 0.5461, 0.6319)
In (0.7208, 0.6747, 0.0889)
In (0.7792, 0.4111, 0.8253)
In (0.7792, 0.8681, 0.9539)
In (0.8253, 0.5461, 0.4142)
In (0.8253, 0.7792, 0.4111)
In (0.8681, 0.4142, 0.0889)
In (0.8681, 0.9539, 0.7792)
In (0.9111, 0.1319, 0.5858)
In (0.9111, 0.2792, 0.3253)
In (0.9142, 0.0461, 0.3253)
In (0.9142, 0.3681, 0.5889)
In (0.9539, 0.6747, 0.0858)
In (0.9539, 0.7792, 0.8681)
S (0.0000, 0.0000, 0.0000)
S (0.0000, 0.0000, 0.5000)
S (0.0000, 0.5000, 0.0000)
S (0.0000, 0.5000, 0.5000)
S (0.1250, 0.7500, 0.8750)
S (0.1250, 0.8750, 0.2500)
S (0.2500, 0.1250, 0.8750)
S (0.2500, 0.6250, 0.3750)
S (0.3750, 0.2500, 0.6250)
S (0.3750, 0.6250, 0.7500)
S (0.5000, 0.0000, 0.0000)
S (0.5000, 0.0000, 0.5000)
S (0.5000, 0.5000, 0.0000)
S (0.5000, 0.5000, 0.5000)
S (0.6250, 0.3750, 0.2500)
S (0.6250, 0.7500, 0.3750)
S (0.7500, 0.3750, 0.6250)
S (0.7500, 0.8750, 0.1250)
S (0.8750, 0.1250, 0.7500)
S (0.8750, 0.2500, 0.1250)

**Total moment**: 0.00 μB/cell

=====

No. 16
Computed, not measured: crystalline TlIn4S7 at its relaxed geometry at the PBE level of DFT.

a b c (Å): 16.3061 6.8711 6.4359
angles (deg): 90.00 90.00 90.00
Element x y z (fractional)
Tl (0.0000, 0.0685, 0.0000)
Tl (0.5000, 0.9315, 0.5000)
In (0.1219, 0.3441, 0.5107)
In (0.2419, 0.8203, 0.5017)
In (0.2581, 0.1797, 0.0017)
In (0.3781, 0.6559, 0.0107)
In (0.6219, 0.6559, 0.0107)
In (0.7419, 0.1797, 0.0017)
In (0.7581, 0.8203, 0.5017)
In (0.8781, 0.3441, 0.5107)
S (0.0000, 0.1320, 0.4394)
S (0.1150, 0.6757, 0.3799)
S (0.1254, 0.3345, 0.9033)
S (0.2466, 0.8255, 0.8984)
S (0.2534, 0.1745, 0.3984)
S (0.3746, 0.6655, 0.4033)
S (0.3850, 0.3243, 0.8799)
S (0.5000, 0.8680, 0.9394)
S (0.6150, 0.3243, 0.8799)
S (0.6254, 0.6655, 0.4033)
S (0.7466, 0.1745, 0.3984)
S (0.7534, 0.8255, 0.8984)
S (0.8746, 0.3345, 0.9033)
S (0.8850, 0.6757, 0.3799)

**Total moment**: 1.73 μB/cell

=====

no.,ΔE_f (raw) (eV/atom)
1,-0.06
2,-0.52
3,-0.04
4,-0.17
5,-0.52
6,0.19
7,-0.34
8,0.50
9,-0.07
10,-0.32
11,-0.45
12,-0.16
13,0.05
14,-0.43
15,-0.04
16,-0.43